Density functional theory data (GGA-PBEsol) for a relaxed CaAs2Rh crystal.

POSCAR file:
```
CaAs2Rh
1.0
3.963 0.000 0.000
0.000 4.731 0.026
0.000 -1.142 4.520
As Rh Ca
2 1 1
Cartesian
1.981 3.626 0.681
0.000 3.733 3.891
1.981 1.364 0.012
0.000 1.391 2.261
```

Calculated values
- energy of formation from the pure elements (eV per atom) = -0.4866
- final energy (hartree per atom) = -0.206
- magnetization (μB per cell) = 0.00



Density functional theory data (GGA-PBEsol) for a relaxed Ca2AsRh crystal.

POSCAR file:
```
Ca2AsRh
1.0
3.845 0.000 0.000
0.000 4.408 0.000
0.000 -2.204 5.344
Ca As Rh
2 1 1
Cartesian
1.922 0.000 2.825
0.000 2.204 5.139
1.922 2.204 0.631
0.000 2.204 2.106
```

Calculated values
- energy of formation from the pure elements (eV per atom) = -0.7558
- final energy (hartree per atom) = -0.189
- magnetization (μB per cell) = 0.00



Density functional theory data (GGA-PBEsol) for a relaxed CaAs2Rh crystal.

POSCAR file:
```
CaAs2Rh
1.0
-2.925 -2.513 2.567
0.501 -4.599 0.250
1.467 -1.960 3.933
As Ca Rh
2 1 1
Cartesian
-0.239 -2.268 1.688
-0.718 -6.803 5.063
-0.479 -4.536 3.375
0.000 0.000 0.000
```

Calculated values
- energy of formation from the pure elements (eV per atom) = -0.4443
- final energy (hartree per atom) = -0.205
- magnetization (μB per cell) = 0.00



Density functional theory data (GGA-PBEsol) for a relaxed CaAs2Rh crystal.

POSCAR file:
```
CaAs2Rh
1.0
4.122 0.000 0.000
-2.061 3.567 -0.044
0.000 -2.315 5.166
Ca Rh As
1 1 2
Cartesian
0.000 -1.158 2.583
2.061 0.000 0.000
2.061 0.053 4.294
0.000 1.199 0.827
```

Calculated values
- energy of formation from the pure elements (eV per atom) = -0.7537
- final energy (hartree per atom) = -0.216
- magnetization (μB per cell) = 0.00